A plane-wave DFT calculation with GGA-PBE was carried out for Al2ZnSn after structural relaxation.

Cell lengths 3.541, 3.541, 6.239 Å; angles 90.00, 90.00, 90.00 degrees
Space group P4/mmm (No. 123)
Unique sites:
Al (0.000, 0.000, 0.221) x2
Zn (0.500, 0.500, 0.000) x1
Sn (0.500, 0.500, 0.500) x1

Summary:
formation energy	0.17	eV/atom
energy	-3.02	eV per atom